# 1
Tc2AgSe, optimized geometry, DFT GGA-PBE; formation energy without anion corrections = 0.2252 eV per atom; spin magnetization = 0.0 μB per formula unit
1.0
-1.684 3.588 -8.484
-4.026 1.878 -8.244
-4.056 4.556 -7.106
Ag Se Tc
1 1 2
Cartesian
-4.834 4.961 -11.798 Ag
-2.578 2.645 -6.292 Se
-9.764 10.020 -23.830 Tc
-7.237 7.427 -17.664 Tc

---

# 2
Tc2AgSe, optimized geometry, DFT GGA-PBE; formation energy without anion corrections = 0.7537 eV per atom; spin magnetization = 0.0 μB per formula unit
1.0
5.010 0.005 0.017
-2.352 4.817 -0.011
0.306 0.818 2.683
Ag Se Tc
1 1 2
Cartesian
-1.023 2.817 1.336 Ag
1.329 2.411 0.003 Se
0.000 0.000 0.000 Tc
2.658 0.411 1.350 Tc

---

# 3
TcAgSe2, optimized geometry, DFT GGA-PBE; distance to the lowest polymorph of the same formula = 34.2 meV/atom; formation energy without anion corrections = -0.1534 eV per atom; spin magnetization = 0.0 μB per formula unit
1.0
-3.255 -2.663 6.106
-3.775 -1.140 -1.911
2.126 -4.952 -0.303
Ag Tc Se
2 2 4
Cartesian
-1.339 -2.516 2.457 Ag
-2.529 -4.949 1.714 Ag
-1.619 -6.538 5.614 Tc
-5.510 -3.597 4.657 Tc
0.016 -5.322 0.632 Se
-4.948 -5.291 2.810 Se
-1.763 -7.101 3.229 Se
-2.698 -3.320 -0.556 Se

---

# 4
TcAg2Se, optimized geometry, DFT GGA-PBE; formation energy without anion corrections = 0.6290 eV per atom; spin magnetization = 3.0 μB per formula unit
1.0
7.705 0.000 0.000
0.000 7.705 0.000
3.852 3.852 2.625
Se Tc Ag
2 2 4
Cartesian
3.852 3.852 0.000 Se
3.852 7.705 1.312 Se
0.000 0.000 0.000 Tc
7.705 3.852 1.312 Tc
5.651 1.926 0.656 Ag
2.054 5.779 0.656 Ag
5.779 5.906 1.968 Ag
9.631 9.503 1.968 Ag

---

Which of these has the lowest formation energy without anion corrections? TcAgSe2

---

Look up the formation energy without anion corrections of the fourth one. 0.6290 eV per atom

---

Which value of spin magnetization does entry 2 give? 0.0 μB per formula unit